Entry from Alexandria via LeMat-Bulk: crystalline Sr2FeHO at its relaxed geometry (PBE with a Hubbard U). Values from VASP.

Computed properties:
- Spin magnetization: 0.68 μB per atom
- Raw total energy: -3.414 eV per atom

Quantum ESPRESSO input file:
```
&SYSTEM
  ibrav = 0, nat = 5, ntyp = 4
/
ATOMIC_SPECIES
Sr 87.62 Sr.upf
Fe 55.84 Fe.upf
O 16.00 O.upf
H 1.01 H.upf
ATOMIC_POSITIONS angstrom
Sr 0.000 0.000 2.736
Sr 2.736 0.000 0.000
Fe 2.736 1.699 2.736
O 0.000 1.699 0.000
H 0.000 0.000 0.000
CELL_PARAMETERS angstrom
5.472 0.000 0.000
0.000 3.398 0.000
0.000 0.000 5.472
```